[1]
NaGdInAu: optimized geometry, PBE.

a = 7.2816 Å, b = 7.2816 Å, c = 7.2816 Å
α = 90.00°, β = 90.00°, γ = 90.00°
Fractional positions:
Na  0.0000  0.0000  0.0000
Na  0.0000  0.5000  0.5000
Na  0.5000  0.0000  0.5000
Na  0.5000  0.5000  0.0000
Gd  0.0000  0.0000  0.5000
Gd  0.0000  0.5000  0.0000
Gd  0.5000  0.0000  0.0000
Gd  0.5000  0.5000  0.5000
In  0.2500  0.2500  0.7500
In  0.2500  0.7500  0.2500
In  0.7500  0.2500  0.2500
In  0.7500  0.7500  0.7500
Au  0.2500  0.2500  0.2500
Au  0.2500  0.7500  0.7500
Au  0.7500  0.2500  0.7500
Au  0.7500  0.7500  0.2500

Density in g cm⁻³: 8.46
Crystal system: cubic
Calculated formation energy in eV/atom: -0.387
V in A^3/atom: 24.1
Electronic total energy in eV/atom: -5.741

[2]
NdGdInAu: optimized geometry, PBE.

a = 7.5356 Å, b = 7.5356 Å, c = 7.5356 Å
α = 90.00°, β = 90.00°, γ = 90.00°
Fractional positions:
Nd  0.0000  0.0000  0.0000
Nd  0.0000  0.5000  0.5000
Nd  0.5000  0.0000  0.5000
Nd  0.5000  0.5000  0.0000
Gd  0.0000  0.0000  0.5000
Gd  0.0000  0.5000  0.0000
Gd  0.5000  0.0000  0.0000
Gd  0.5000  0.5000  0.5000
In  0.2500  0.2500  0.2500
In  0.2500  0.7500  0.7500
In  0.7500  0.2500  0.7500
In  0.7500  0.7500  0.2500
Au  0.2500  0.2500  0.7500
Au  0.2500  0.7500  0.2500
Au  0.7500  0.2500  0.2500
Au  0.7500  0.7500  0.7500

Density in g cm⁻³: 9.52
Crystal system: cubic
Calculated formation energy in eV/atom: -0.590
V in A^3/atom: 26.7
Electronic total energy in eV/atom: -6.806

[3]
GdInNiAu: optimized geometry, PBE.

a = 6.8393 Å, b = 6.8393 Å, c = 6.8393 Å
α = 90.00°, β = 90.00°, γ = 90.00°
Fractional positions:
Gd  0.0000  0.0000  0.0000
Gd  0.0000  0.5000  0.5000
Gd  0.5000  0.0000  0.5000
Gd  0.5000  0.5000  0.0000
In  0.0000  0.0000  0.5000
In  0.0000  0.5000  0.0000
In  0.5000  0.0000  0.0000
In  0.5000  0.5000  0.5000
Ni  0.2500  0.2500  0.2500
Ni  0.2500  0.7500  0.7500
Ni  0.7500  0.2500  0.7500
Ni  0.7500  0.7500  0.2500
Au  0.2500  0.2500  0.7500
Au  0.2500  0.7500  0.2500
Au  0.7500  0.2500  0.2500
Au  0.7500  0.7500  0.7500

Density in g cm⁻³: 10.96
Crystal system: cubic
Calculated formation energy in eV/atom: -0.454
V in A^3/atom: 20.0
Electronic total energy in eV/atom: -6.923

[4]
GdPaInAu: optimized geometry, PBE.

a = 7.4308 Å, b = 7.4308 Å, c = 7.4308 Å
α = 90.00°, β = 90.00°, γ = 90.00°
Fractional positions:
Gd  0.0000  0.0000  0.0000
Gd  0.0000  0.5000  0.5000
Gd  0.5000  0.0000  0.5000
Gd  0.5000  0.5000  0.0000
Pa  0.0000  0.0000  0.5000
Pa  0.0000  0.5000  0.0000
Pa  0.5000  0.0000  0.0000
Pa  0.5000  0.5000  0.5000
In  0.2500  0.2500  0.7500
In  0.2500  0.7500  0.2500
In  0.7500  0.2500  0.2500
In  0.7500  0.7500  0.7500
Au  0.2500  0.2500  0.2500
Au  0.2500  0.7500  0.7500
Au  0.7500  0.2500  0.7500
Au  0.7500  0.7500  0.2500

Density in g cm⁻³: 11.33
Crystal system: cubic
Calculated formation energy in eV/atom: -0.214
V in A^3/atom: 25.6
Electronic total energy in eV/atom: -7.612

[5]
GdInPbAu: optimized geometry, PBE.

a = 7.4138 Å, b = 7.4138 Å, c = 7.4138 Å
α = 90.00°, β = 90.00°, γ = 90.00°
Fractional positions:
Gd  0.0000  0.0000  0.0000
Gd  0.0000  0.5000  0.5000
Gd  0.5000  0.0000  0.5000
Gd  0.5000  0.5000  0.0000
In  0.2500  0.2500  0.2500
In  0.2500  0.7500  0.7500
In  0.7500  0.2500  0.7500
In  0.7500  0.7500  0.2500
Pb  0.0000  0.0000  0.5000
Pb  0.0000  0.5000  0.0000
Pb  0.5000  0.0000  0.0000
Pb  0.5000  0.5000  0.5000
Au  0.2500  0.2500  0.7500
Au  0.2500  0.7500  0.2500
Au  0.7500  0.2500  0.2500
Au  0.7500  0.7500  0.7500

Density in g cm⁻³: 11.02
Crystal system: cubic
Calculated formation energy in eV/atom: -0.336
V in A^3/atom: 25.5
Electronic total energy in eV/atom: -6.288

[6]
PrGdInAu: optimized geometry, PBE.

a = 7.5635 Å, b = 7.5635 Å, c = 7.5635 Å
α = 90.00°, β = 90.00°, γ = 90.00°
Fractional positions:
Pr  0.0000  0.0000  0.0000
Pr  0.0000  0.5000  0.5000
Pr  0.5000  0.0000  0.5000
Pr  0.5000  0.5000  0.0000
Gd  0.0000  0.0000  0.5000
Gd  0.0000  0.5000  0.0000
Gd  0.5000  0.0000  0.0000
Gd  0.5000  0.5000  0.5000
In  0.2500  0.2500  0.2500
In  0.2500  0.7500  0.7500
In  0.7500  0.2500  0.7500
In  0.7500  0.7500  0.2500
Au  0.2500  0.2500  0.7500
Au  0.2500  0.7500  0.2500
Au  0.7500  0.2500  0.2500
Au  0.7500  0.7500  0.7500

Density in g cm⁻³: 9.36
Crystal system: cubic
Calculated formation energy in eV/atom: -0.583
V in A^3/atom: 27.0
Electronic total energy in eV/atom: -6.802

[7]
GdInRhAu: optimized geometry, PBE.

a = 6.8805 Å, b = 6.8805 Å, c = 6.8805 Å
α = 90.00°, β = 90.00°, γ = 90.00°
Fractional positions:
Gd  0.0000  0.0000  0.0000
Gd  0.0000  0.5000  0.5000
Gd  0.5000  0.0000  0.5000
Gd  0.5000  0.5000  0.0000
In  0.0000  0.0000  0.5000
In  0.0000  0.5000  0.0000
In  0.5000  0.0000  0.0000
In  0.5000  0.5000  0.5000
Rh  0.2500  0.2500  0.7500
Rh  0.2500  0.7500  0.2500
Rh  0.7500  0.2500  0.2500
Rh  0.7500  0.7500  0.7500
Au  0.2500  0.2500  0.2500
Au  0.2500  0.7500  0.7500
Au  0.7500  0.2500  0.7500
Au  0.7500  0.7500  0.2500

Density in g cm⁻³: 11.66
Crystal system: cubic
Calculated formation energy in eV/atom: -0.591
V in A^3/atom: 20.4
Electronic total energy in eV/atom: -7.453

[8]
SmGdInAu: optimized geometry, PBE.

a = 7.4893 Å, b = 7.4893 Å, c = 7.4893 Å
α = 90.00°, β = 90.00°, γ = 90.00°
Fractional positions:
Sm  0.0000  0.0000  0.0000
Sm  0.0000  0.5000  0.5000
Sm  0.5000  0.0000  0.5000
Sm  0.5000  0.5000  0.0000
Gd  0.0000  0.0000  0.5000
Gd  0.0000  0.5000  0.0000
Gd  0.5000  0.0000  0.0000
Gd  0.5000  0.5000  0.5000
In  0.2500  0.2500  0.2500
In  0.2500  0.7500  0.7500
In  0.7500  0.2500  0.7500
In  0.7500  0.7500  0.2500
Au  0.2500  0.2500  0.7500
Au  0.2500  0.7500  0.2500
Au  0.7500  0.2500  0.2500
Au  0.7500  0.7500  0.7500

Density in g cm⁻³: 9.79
Crystal system: cubic
Calculated formation energy in eV/atom: -0.600
V in A^3/atom: 26.3
Electronic total energy in eV/atom: -6.804

[9]
GdInSnAu: optimized geometry, PBE.

a = 7.3036 Å, b = 7.3036 Å, c = 7.3036 Å
α = 90.00°, β = 90.00°, γ = 90.00°
Fractional positions:
Gd  0.0000  0.0000  0.0000
Gd  0.0000  0.5000  0.5000
Gd  0.5000  0.0000  0.5000
Gd  0.5000  0.5000  0.0000
In  0.0000  0.0000  0.5000
In  0.0000  0.5000  0.0000
In  0.5000  0.0000  0.0000
In  0.5000  0.5000  0.5000
Sn  0.2500  0.2500  0.7500
Sn  0.2500  0.7500  0.2500
Sn  0.7500  0.2500  0.2500
Sn  0.7500  0.7500  0.7500
Au  0.2500  0.2500  0.2500
Au  0.2500  0.7500  0.7500
Au  0.7500  0.2500  0.7500
Au  0.7500  0.7500  0.2500

Density in g cm⁻³: 10.02
Crystal system: cubic
Calculated formation energy in eV/atom: -0.415
V in A^3/atom: 24.3
Electronic total energy in eV/atom: -6.440

[10]
TbGdInAu: optimized geometry, PBE.

a = 7.4300 Å, b = 7.4300 Å, c = 7.4300 Å
α = 90.00°, β = 90.00°, γ = 90.00°
Fractional positions:
Tb  0.0000  0.0000  0.0000
Tb  0.0000  0.5000  0.5000
Tb  0.5000  0.0000  0.5000
Tb  0.5000  0.5000  0.0000
Gd  0.0000  0.0000  0.5000
Gd  0.0000  0.5000  0.0000
Gd  0.5000  0.0000  0.0000
Gd  0.5000  0.5000  0.5000
In  0.2500  0.2500  0.7500
In  0.2500  0.7500  0.2500
In  0.7500  0.2500  0.2500
In  0.7500  0.7500  0.7500
Au  0.2500  0.2500  0.2500
Au  0.2500  0.7500  0.7500
Au  0.7500  0.2500  0.7500
Au  0.7500  0.7500  0.2500

Density in g cm⁻³: 10.17
Crystal system: cubic
Calculated formation energy in eV/atom: -0.612
V in A^3/atom: 25.6
Electronic total energy in eV/atom: -6.794

[11]
GdYInAu: optimized geometry, PBE.

a = 7.4222 Å, b = 7.4222 Å, c = 7.4222 Å
α = 90.00°, β = 90.00°, γ = 90.00°
Fractional positions:
Gd  0.0000  0.0000  0.0000
Gd  0.0000  0.5000  0.5000
Gd  0.5000  0.0000  0.5000
Gd  0.5000  0.5000  0.0000
Y  0.0000  0.0000  0.5000
Y  0.0000  0.5000  0.0000
Y  0.5000  0.0000  0.0000
Y  0.5000  0.5000  0.5000
In  0.2500  0.2500  0.2500
In  0.2500  0.7500  0.7500
In  0.7500  0.2500  0.7500
In  0.7500  0.7500  0.2500
Au  0.2500  0.2500  0.7500
Au  0.2500  0.7500  0.2500
Au  0.7500  0.2500  0.2500
Au  0.7500  0.7500  0.7500

Density in g cm⁻³: 9.06
Crystal system: cubic
Calculated formation energy in eV/atom: -0.625
V in A^3/atom: 25.6
Electronic total energy in eV/atom: -7.266

[12]
GdZnInAu: optimized geometry, PBE.

a = 6.9885 Å, b = 6.9885 Å, c = 6.9885 Å
α = 90.00°, β = 90.00°, γ = 90.00°
Fractional positions:
Gd  0.0000  0.0000  0.0000
Gd  0.0000  0.5000  0.5000
Gd  0.5000  0.0000  0.5000
Gd  0.5000  0.5000  0.0000
Zn  0.2500  0.2500  0.7500
Zn  0.2500  0.7500  0.2500
Zn  0.7500  0.2500  0.2500
Zn  0.7500  0.7500  0.7500
In  0.0000  0.0000  0.5000
In  0.0000  0.5000  0.0000
In  0.5000  0.0000  0.0000
In  0.5000  0.5000  0.5000
Au  0.2500  0.2500  0.2500
Au  0.2500  0.7500  0.7500
Au  0.7500  0.2500  0.7500
Au  0.7500  0.7500  0.2500

Density in g cm⁻³: 10.40
Crystal system: cubic
Calculated formation energy in eV/atom: -0.524
V in A^3/atom: 21.3
Electronic total energy in eV/atom: -5.867

[13]
GdZrInAu: optimized geometry, PBE.

a = 7.2264 Å, b = 7.2264 Å, c = 7.2264 Å
α = 90.00°, β = 90.00°, γ = 90.00°
Fractional positions:
Gd  0.0000  0.0000  0.0000
Gd  0.0000  0.5000  0.5000
Gd  0.5000  0.0000  0.5000
Gd  0.5000  0.5000  0.0000
Zr  0.0000  0.0000  0.5000
Zr  0.0000  0.5000  0.0000
Zr  0.5000  0.0000  0.0000
Zr  0.5000  0.5000  0.5000
In  0.2500  0.2500  0.7500
In  0.2500  0.7500  0.2500
In  0.7500  0.2500  0.2500
In  0.7500  0.7500  0.7500
Au  0.2500  0.2500  0.2500
Au  0.2500  0.7500  0.7500
Au  0.7500  0.2500  0.7500
Au  0.7500  0.7500  0.2500

Density in g cm⁻³: 9.86
Crystal system: cubic
Calculated formation energy in eV/atom: -0.405
V in A^3/atom: 23.6
Electronic total energy in eV/atom: -7.566

[14]
Gd2IrAu: optimized geometry, PBE.

a = 3.5429 Å, b = 3.5429 Å, c = 7.1537 Å
α = 90.00°, β = 90.00°, γ = 90.00°
Fractional positions:
Gd  0.0000  0.0000  0.2318
Gd  0.0000  0.0000  0.7682
Ir  0.5000  0.5000  0.0000
Au  0.5000  0.5000  0.5000

Density in g cm⁻³: 13.01
Crystal system: tetragonal
Calculated formation energy in eV/atom: -0.797
V in A^3/atom: 22.4
Electronic total energy in eV/atom: -10.872

[15]
GdIr4Au: optimized geometry, PBE.

a = 5.3025 Å, b = 5.3025 Å, c = 5.3025 Å
α = 60.00°, β = 60.00°, γ = 60.00°
Fractional positions:
Gd  0.0000  0.0000  0.0000
Ir  0.1256  0.6248  0.6248
Ir  0.6248  0.1256  0.6248
Ir  0.6248  0.6248  0.1256
Ir  0.6248  0.6248  0.6248
Au  0.2500  0.2500  0.2500

Density in g cm⁻³: 17.69
Crystal system: cubic
Calculated formation energy in eV/atom: -0.229
V in A^3/atom: 17.6
Electronic total energy in eV/atom: -9.029

[16]
Gd2IrAu: optimized geometry, PBE.

a = 4.1012 Å, b = 4.1012 Å, c = 20.9474 Å
α = 90.00°, β = 90.00°, γ = 120.00°
Fractional positions:
Gd  0.0000  0.0000  0.2396
Gd  0.0000  0.0000  0.7604
Gd  0.3333  0.6667  0.4270
Gd  0.3333  0.6667  0.9063
Gd  0.6667  0.3333  0.0937
Gd  0.6667  0.3333  0.5730
Ir  0.0000  0.0000  0.5000
Ir  0.3333  0.6667  0.1667
Ir  0.6667  0.3333  0.8333
Au  0.0000  0.0000  0.0000
Au  0.3333  0.6667  0.6667
Au  0.6667  0.3333  0.3333

Density in g cm⁻³: 11.49
Crystal system: trigonal
Calculated formation energy in eV/atom: -0.723
V in A^3/atom: 25.4
Electronic total energy in eV/atom: -10.798

[17]
Gd2IrAu: optimized geometry, PBE.

a = 7.0925 Å, b = 7.0925 Å, c = 7.0925 Å
α = 90.00°, β = 90.00°, γ = 90.00°
Fractional positions:
Gd  0.2500  0.2500  0.2500
Gd  0.2500  0.2500  0.7500
Gd  0.2500  0.7500  0.2500
Gd  0.2500  0.7500  0.7500
Gd  0.7500  0.2500  0.2500
Gd  0.7500  0.2500  0.7500
Gd  0.7500  0.7500  0.2500
Gd  0.7500  0.7500  0.7500
Ir  0.0000  0.0000  0.0000
Ir  0.0000  0.5000  0.5000
Ir  0.5000  0.0000  0.5000
Ir  0.5000  0.5000  0.0000
Au  0.0000  0.0000  0.5000
Au  0.0000  0.5000  0.0000
Au  0.5000  0.0000  0.0000
Au  0.5000  0.5000  0.5000

Density in g cm⁻³: 13.10
Crystal system: cubic
Calculated formation energy in eV/atom: -0.776
V in A^3/atom: 22.3
Electronic total energy in eV/atom: -10.851

[18]
LaGdIrAu: optimized geometry, PBE.

a = 7.2348 Å, b = 7.2348 Å, c = 7.2348 Å
α = 90.00°, β = 90.00°, γ = 90.00°
Fractional positions:
La  0.0000  0.0000  0.0000
La  0.0000  0.5000  0.5000
La  0.5000  0.0000  0.5000
La  0.5000  0.5000  0.0000
Gd  0.0000  0.0000  0.5000
Gd  0.0000  0.5000  0.0000
Gd  0.5000  0.0000  0.0000
Gd  0.5000  0.5000  0.5000
Ir  0.2500  0.2500  0.7500
Ir  0.2500  0.7500  0.2500
Ir  0.7500  0.2500  0.2500
Ir  0.7500  0.7500  0.7500
Au  0.2500  0.2500  0.2500
Au  0.2500  0.7500  0.7500
Au  0.7500  0.2500  0.7500
Au  0.7500  0.7500  0.2500

Density in g cm⁻³: 12.02
Crystal system: cubic
Calculated formation energy in eV/atom: -0.720
V in A^3/atom: 23.7
Electronic total energy in eV/atom: -8.507

[19]
LiGdIrAu: optimized geometry, PBE.

a = 6.7256 Å, b = 6.7256 Å, c = 6.7256 Å
α = 90.00°, β = 90.00°, γ = 90.00°
Fractional positions:
Li  0.0000  0.0000  0.0000
Li  0.0000  0.5000  0.5000
Li  0.5000  0.0000  0.5000
Li  0.5000  0.5000  0.0000
Gd  0.0000  0.0000  0.5000
Gd  0.0000  0.5000  0.0000
Gd  0.5000  0.0000  0.0000
Gd  0.5000  0.5000  0.5000
Ir  0.2500  0.2500  0.2500
Ir  0.2500  0.7500  0.7500
Ir  0.7500  0.2500  0.7500
Ir  0.7500  0.7500  0.2500
Au  0.2500  0.2500  0.7500
Au  0.2500  0.7500  0.2500
Au  0.7500  0.2500  0.2500
Au  0.7500  0.7500  0.7500

Density in g cm⁻³: 12.08
Crystal system: cubic
Calculated formation energy in eV/atom: -0.473
V in A^3/atom: 19.0
Electronic total energy in eV/atom: -7.506

[20]
GdLuIrAu: optimized geometry, PBE.

a = 6.9904 Å, b = 6.9904 Å, c = 6.9904 Å
α = 90.00°, β = 90.00°, γ = 90.00°
Fractional positions:
Gd  0.0000  0.0000  0.0000
Gd  0.0000  0.5000  0.5000
Gd  0.5000  0.0000  0.5000
Gd  0.5000  0.5000  0.0000
Lu  0.0000  0.0000  0.5000
Lu  0.0000  0.5000  0.0000
Lu  0.5000  0.0000  0.0000
Lu  0.5000  0.5000  0.5000
Ir  0.2500  0.2500  0.2500
Ir  0.2500  0.7500  0.7500
Ir  0.7500  0.2500  0.7500
Ir  0.7500  0.7500  0.2500
Au  0.2500  0.2500  0.7500
Au  0.2500  0.7500  0.2500
Au  0.7500  0.2500  0.2500
Au  0.7500  0.7500  0.7500

Density in g cm⁻³: 14.03
Crystal system: cubic
Calculated formation energy in eV/atom: -0.828
V in A^3/atom: 21.3
Electronic total energy in eV/atom: -8.513